Density functional theory data (PBE+U) for a geometry-optimized NaMnVF6 structure.

Summary:
As for the total energy: -5.8713 eV/atom. The calculation puts the size of the total moment at 14.00 Bohr magnetons per cell.

Cell lengths 4.954, 4.954, 9.897 Å; angles 90.00, 90.00, 90.00 degrees
Positions (direct):
Na  0.000  0.000  0.000
Na  0.500  0.500  0.500
Mn  0.000  0.000  0.669
Mn  0.500  0.500  0.169
V  0.000  0.000  0.334
V  0.500  0.500  0.834
F  0.180  0.180  0.490
F  0.197  0.197  0.187
F  0.218  0.218  0.823
F  0.282  0.718  0.323
F  0.303  0.697  0.687
F  0.320  0.680  0.990
F  0.680  0.320  0.990
F  0.697  0.303  0.687
F  0.718  0.282  0.323
F  0.782  0.782  0.823
F  0.803  0.803  0.187
F  0.820  0.820  0.490